A geometry-optimized EuDyZnIn structure. Source: the Alexandria database, functional PBE-GGA.

Properties
- magnetic moment (μB per cell) = 29.32
- energy (Ha/atom) = -0.186
- crystal system = cubic

Geometry as CIF:
```
data_EuDyZnIn
_chemical_formula_sum 'Eu4 Dy4 Zn4 In4'
_space_group_name_H-M_alt 'F -4 3 m'
_space_group_IT_number 216
_space_group_name_Hall 'F -4 2 3'
_cell_length_a 7.5336
_cell_length_b 7.5336
_cell_length_c 7.5336
_cell_angle_alpha 90.00
_cell_angle_beta 90.00
_cell_angle_gamma 90.00
loop_
_atom_site_label
_atom_site_type_symbol
_atom_site_fract_x
_atom_site_fract_y
_atom_site_fract_z
_atom_site_occupancy
Eu1 Eu 0.0000 0.0000 0.0000 1
Dy1 Dy 0.0000 0.0000 0.5000 1
Zn1 Zn 0.2500 0.2500 0.2500 1
In1 In 0.2500 0.2500 0.7500 1
```

=====

A geometry-optimized EuDyIr structure. Source: the Alexandria database, functional PBE-GGA.

Properties
- polymorph energy (0 for the lowest one) (eV per formula unit) = 0.13
- magnetic moment (μB per cell) = 14.05
- energy (Ha/atom) = -0.308
- crystal system = tetragonal

Geometry as CIF:
```
data_EuDyIr
_chemical_formula_sum 'Eu2 Dy2 Ir2'
_space_group_name_H-M_alt 'I 4 m m'
_space_group_IT_number 107
_space_group_name_Hall 'I 4 -2'
_cell_length_a 3.4832
_cell_length_b 3.4832
_cell_length_c 13.3398
_cell_angle_alpha 90.00
_cell_angle_beta 90.00
_cell_angle_gamma 90.00
loop_
_atom_site_label
_atom_site_type_symbol
_atom_site_fract_x
_atom_site_fract_y
_atom_site_fract_z
_atom_site_occupancy
Eu1 Eu 0.0000 0.0000 0.0000 1
Dy1 Dy 0.0000 0.0000 0.2534 1
Ir1 Ir 0.0000 0.0000 0.6427 1
```

=====

A geometry-optimized EuDyIr structure. Source: the Alexandria database, functional PBE-GGA.

Properties
- polymorph energy (0 for the lowest one) (eV per formula unit) = 0.00
- magnetic moment (μB per cell) = 28.06
- energy (Ha/atom) = -0.309
- crystal system = cubic

Geometry as CIF:
```
data_EuDyIr
_chemical_formula_sum 'Eu4 Dy4 Ir4'
_space_group_name_H-M_alt 'F -4 3 m'
_space_group_IT_number 216
_space_group_name_Hall 'F -4 2 3'
_cell_length_a 6.8806
_cell_length_b 6.8806
_cell_length_c 6.8806
_cell_angle_alpha 90.00
_cell_angle_beta 90.00
_cell_angle_gamma 90.00
loop_
_atom_site_label
_atom_site_type_symbol
_atom_site_fract_x
_atom_site_fract_y
_atom_site_fract_z
_atom_site_occupancy
Eu1 Eu 0.0000 0.0000 0.0000 1
Dy1 Dy 0.0000 0.0000 0.5000 1
Ir1 Ir 0.2500 0.2500 0.2500 1
```